Model one:
Below is MgSOF2 after structural relaxation, with properties calculated at the GGA-PBE level.

Results
Fermi-level density of states in states/eV per atom: 0.51

Cell: 4.666 4.666 3.424 Å, 90.00 90.00 90.00°
Sites, in units of the cell vectors:
1 Mg 0.000 0.000 0.000
2 S 0.500 0.500 0.500
3 O 0.500 0.500 0.000
4 F 0.000 0.500 0.500
5 F 0.500 0.000 0.500

***

Model two:
Below is MgSOF2 after structural relaxation, with properties calculated at the GGA-PBE level.

Results
Fermi-level density of states in states/eV per atom: 0.37

Cell: 3.704 3.704 4.581 Å, 90.00 90.00 90.00°
Sites, in units of the cell vectors:
1 Mg 0.000 0.000 0.000
2 S 0.500 0.500 0.500
3 O 0.000 0.000 0.500
4 F 0.000 0.500 0.000
5 F 0.500 0.000 0.000

***

Most stable of them? model two.

***

Model one:
Below is MgSbOF2 after structural relaxation, with properties calculated at the GGA-PBE level.

Results
Fermi-level density of states in states/eV per atom: 0.26

Cell: 4.570 4.570 4.279 Å, 90.00 90.00 90.00°
Sites, in units of the cell vectors:
1 Mg 0.000 0.000 0.000
2 Sb 0.500 0.500 0.500
3 O 0.500 0.500 0.000
4 F 0.000 0.500 0.500
5 F 0.500 0.000 0.500

***

Model two:
Below is MgSbOF2 after structural relaxation, with properties calculated at the GGA-PBE level.

Results
Fermi-level density of states in states/eV per atom: 0.51

Cell: 3.858 3.858 4.345 Å, 90.00 90.00 90.00°
Sites, in units of the cell vectors:
1 Mg 0.000 0.000 0.000
2 Sb 0.500 0.500 0.500
3 O 0.000 0.000 0.500
4 F 0.000 0.500 0.000
5 F 0.500 0.000 0.000

***

Most stable of them? model two.

***

Model one:
Below is MgScOF2 after structural relaxation, with properties calculated at the GGA-PBE level.

Results
Fermi-level density of states in states/eV per atom: 0.40

Cell: 4.209 4.209 4.043 Å, 90.00 90.00 90.00°
Sites, in units of the cell vectors:
1 Mg 0.000 0.000 0.000
2 Sc 0.500 0.500 0.500
3 O 0.500 0.500 0.000
4 F 0.000 0.500 0.500
5 F 0.500 0.000 0.500

***

Model two:
Below is MgScOF2 after structural relaxation, with properties calculated at the GGA-PBE level.

Results
Fermi-level density of states in states/eV per atom: 0.57

Cell: 3.773 3.773 4.121 Å, 90.00 90.00 90.00°
Sites, in units of the cell vectors:
1 Mg 0.000 0.000 0.000
2 Sc 0.500 0.500 0.500
3 O 0.000 0.000 0.500
4 F 0.000 0.500 0.000
5 F 0.500 0.000 0.000

***

Most stable of them? model one.

***

Model one:
Below is MgTcOF2 after structural relaxation, with properties calculated at the GGA-PBE level.

Results
Fermi-level density of states in states/eV per atom: 0.05

Cell: 3.778 3.778 4.284 Å, 90.00 90.00 90.00°
Sites, in units of the cell vectors:
1 Mg 0.000 0.000 0.000
2 Tc 0.500 0.500 0.500
3 O 0.000 0.000 0.500
4 F 0.000 0.500 0.000
5 F 0.500 0.000 0.000

***

Model two:
Below is MgTcOF2 after structural relaxation, with properties calculated at the GGA-PBE level.

Results
Fermi-level density of states in states/eV per atom: 0.49

Cell: 4.332 4.332 3.769 Å, 90.00 90.00 90.00°
Sites, in units of the cell vectors:
1 Mg 0.000 0.000 0.000
2 Tc 0.500 0.500 0.500
3 O 0.500 0.500 0.000
4 F 0.000 0.500 0.500
5 F 0.500 0.000 0.500

***

Most stable of them? model one.

***

Model one:
Below is MgTeOF2 after structural relaxation, with properties calculated at the GGA-PBE level.

Results
Fermi-level density of states in states/eV per atom: 0.42

Cell: 3.763 3.763 4.888 Å, 90.00 90.00 90.00°
Sites, in units of the cell vectors:
1 Mg 0.000 0.000 0.000
2 Te 0.500 0.500 0.500
3 O 0.000 0.000 0.500
4 F 0.000 0.500 0.000
5 F 0.500 0.000 0.000

***

Model two:
Below is MgTeOF2 after structural relaxation, with properties calculated at the GGA-PBE level.

Results
Fermi-level density of states in states/eV per atom: 0.27

Cell: 4.786 4.786 4.073 Å, 90.00 90.00 90.00°
Sites, in units of the cell vectors:
1 Mg 0.000 0.000 0.000
2 Te 0.500 0.500 0.500
3 O 0.500 0.500 0.000
4 F 0.000 0.500 0.500
5 F 0.500 0.000 0.500

***

Most stable of them? model one.

***

Model one:
Below is YMgOF2 after structural relaxation, with properties calculated at the GGA-PBE level.

Results
Fermi-level density of states in states/eV per atom: 0.33

Cell: 4.437 4.437 4.411 Å, 90.00 90.00 90.00°
Sites, in units of the cell vectors:
1 Y 0.000 0.000 0.000
2 Mg 0.500 0.500 0.500
3 O 0.000 0.000 0.500
4 F 0.000 0.500 0.000
5 F 0.500 0.000 0.000

***

Model two:
Below is YMgOF2 after structural relaxation, with properties calculated at the GGA-PBE level.

Results
Fermi-level density of states in states/eV per atom: 0.38

Cell: 4.130 4.130 6.912 Å, 90.00 90.00 90.00°
Sites, in units of the cell vectors:
1 Y 0.000 0.000 0.000
2 Mg 0.000 0.000 0.500
3 O 0.500 0.500 0.500
4 F 0.000 0.500 0.000
5 F 0.500 0.000 0.000

***

Model three:
Below is YMgOF2 after structural relaxation, with properties calculated at the GGA-PBE level.

Results
Fermi-level density of states in states/eV per atom: 0.50

Cell: 3.824 3.824 4.230 Å, 90.00 90.00 90.00°
Sites, in units of the cell vectors:
1 Y 0.000 0.000 0.000
2 Mg 0.500 0.500 0.500
3 O 0.500 0.500 0.000
4 F 0.000 0.500 0.500
5 F 0.500 0.000 0.500

***

Most stable of them? model three.

***

Model one:
Below is MgOsF2 after structural relaxation, with properties calculated at the GGA-PBE level.

Results
Fermi-level density of states in states/eV per atom: 0.28

Cell: 4.263 4.263 4.263 Å, 60.00 60.00 60.00°
Sites, in units of the cell vectors:
1 Mg 0.000 0.000 0.000
2 Os 0.500 0.500 0.500
3 F 0.250 0.250 0.250
4 F 0.750 0.750 0.750

***

Model two:
Below is MgOsF2 after structural relaxation, with properties calculated at the GGA-PBE level.

Results
Fermi-level density of states in states/eV per atom: 0.68

Cell: 5.712 5.712 5.712 Å, 126.60 126.60 78.91°
Sites, in units of the cell vectors:
1 Mg 0.000 0.000 0.000
2 Mg 0.750 0.250 0.500
3 Os 0.250 0.750 0.500
4 Os 0.500 0.500 0.000
5 F 0.026 0.625 0.901
6 F 0.375 0.276 0.401
7 F 0.724 0.125 0.099
8 F 0.875 0.974 0.599

***

Model three:
Below is MgOsF2 after structural relaxation, with properties calculated at the GGA-PBE level.

Results
Fermi-level density of states in states/eV per atom: 0.54

Cell: 9.907 9.907 9.907 Å, 16.06 16.06 16.06°
Sites, in units of the cell vectors:
1 Mg 0.000 0.000 0.000
2 Os 0.500 0.500 0.500
3 F 0.370 0.370 0.370
4 F 0.630 0.630 0.630

***

Most stable of them? model three.

***

Model one:
Below is Mg3OsF after structural relaxation, with properties calculated at the GGA-PBE level.

Results
Fermi-level density of states in states/eV per atom: 0.66

Cell: 4.982 4.982 4.982 Å, 90.00 90.00 90.00°
Sites, in units of the cell vectors:
1 Mg 0.000 0.000 0.500
2 Mg 0.000 0.500 0.000
3 Mg 0.500 0.000 0.000
4 Os 0.000 0.000 0.000
5 F 0.500 0.500 0.500

***

Model two:
Below is Mg3OsF after structural relaxation, with properties calculated at the GGA-PBE level.

Results
Fermi-level density of states in states/eV per atom: 0.59

Cell: 4.220 4.220 4.220 Å, 90.00 90.00 90.00°
Sites, in units of the cell vectors:
1 Mg 0.000 0.000 0.500
2 Mg 0.000 0.500 0.000
3 Mg 0.500 0.000 0.000
4 Os 0.500 0.500 0.500
5 F 0.000 0.000 0.000

***

Most stable of them? model two.

***

Model one:
Below is MgP2F after structural relaxation, with properties calculated at the GGA-PBE level.

Results
Fermi-level density of states in states/eV per atom: 0.54

Cell: 4.383 4.383 4.383 Å, 60.00 60.00 60.00°
Sites, in units of the cell vectors:
1 Mg 0.000 0.000 0.000
2 P 0.250 0.250 0.250
3 P 0.750 0.750 0.750
4 F 0.500 0.500 0.500

***

Model two:
Below is MgP2F after structural relaxation, with properties calculated at the GGA-PBE level.

Results
Fermi-level density of states in states/eV per atom: 0.28

Cell: 11.368 11.368 11.368 Å, 163.50 163.50 23.41°
Sites, in units of the cell vectors:
1 Mg 0.000 0.000 0.000
2 Mg 0.750 0.250 0.500
3 P 0.125 0.625 0.000
4 P 0.375 0.375 0.500
5 P 0.625 0.125 0.000
6 P 0.875 0.875 0.500
7 F 0.250 0.750 0.500
8 F 0.500 0.500 0.000

***

Most stable of them? model two.

***

Model one:
Below is MgP3F after structural relaxation, with properties calculated at the GGA-PBE level.

Results
Fermi-level density of states in states/eV per atom: 0.51

Cell: 4.375 4.375 4.375 Å, 90.00 90.00 90.00°
Sites, in units of the cell vectors:
1 Mg 0.000 0.000 0.000
2 P 0.000 0.500 0.500
3 P 0.500 0.000 0.500
4 P 0.500 0.500 0.000
5 F 0.500 0.500 0.500

***

Model two:
Below is MgP3F after structural relaxation, with properties calculated at the GGA-PBE level.

Results
Fermi-level density of states in states/eV per atom: 1.06

Cell: 4.736 4.736 4.736 Å, 90.00 90.00 90.00°
Sites, in units of the cell vectors:
1 Mg 0.000 0.000 0.000
2 P 0.000 0.000 0.500
3 P 0.000 0.500 0.000
4 P 0.500 0.000 0.000
5 F 0.500 0.500 0.500

***

Most stable of them? model one.

***

Model one:
Below is Mg2PF after structural relaxation, with properties calculated at the GGA-PBE level.

Results
Fermi-level density of states in states/eV per atom: 0.00

Cell: 4.394 4.394 4.394 Å, 60.00 60.00 60.00°
Sites, in units of the cell vectors:
1 Mg 0.250 0.250 0.250
2 Mg 0.750 0.750 0.750
3 P 0.000 0.000 0.000
4 F 0.500 0.500 0.500

***

Model two:
Below is Mg2PF after structural relaxation, with properties calculated at the GGA-PBE level.

Results
Fermi-level density of states in states/eV per atom: 0.00

Cell: 6.849 6.849 6.849 Å, 136.01 136.01 63.97°
Sites, in units of the cell vectors:
1 Mg 0.084 0.625 0.959
2 Mg 0.375 0.334 0.459
3 Mg 0.666 0.125 0.041
4 Mg 0.875 0.916 0.541
5 P 0.250 0.750 0.500
6 P 0.500 0.500 0.000
7 F 0.000 0.000 0.000
8 F 0.750 0.250 0.500

***

Most stable of them? model two.

***

Model one:
Below is MgPS2F after structural relaxation, with properties calculated at the GGA-PBE level.

Results
Fermi-level density of states in states/eV per atom: 0.77

Cell: 4.622 4.622 5.017 Å, 90.00 90.00 90.00°
Sites, in units of the cell vectors:
1 Mg 0.000 0.000 0.000
2 P 0.000 0.000 0.500
3 S 0.000 0.500 0.000
4 S 0.500 0.000 0.000
5 F 0.500 0.500 0.500

***

Model two:
Below is MgPS2F after structural relaxation, with properties calculated at the GGA-PBE level.

Results
Fermi-level density of states in states/eV per atom: 0.07

Cell: 4.709 4.709 3.796 Å, 90.00 90.00 90.00°
Sites, in units of the cell vectors:
1 Mg 0.000 0.000 0.000
2 P 0.500 0.500 0.500
3 S 0.000 0.500 0.500
4 S 0.500 0.000 0.500
5 F 0.500 0.500 0.000

***

Model three:
Below is MgPS2F after structural relaxation, with properties calculated at the GGA-PBE level.

Results
Fermi-level density of states in states/eV per atom: 0.60

Cell: 4.992 4.992 3.654 Å, 90.00 90.00 90.00°
Sites, in units of the cell vectors:
1 Mg 0.000 0.000 0.000
2 P 0.500 0.500 0.000
3 S 0.000 0.500 0.500
4 S 0.500 0.000 0.500
5 F 0.500 0.500 0.500

***

Most stable of them? model two.

***

Model one:
Below is Mg3PbF after structural relaxation, with properties calculated at the GGA-PBE level.

Results
Fermi-level density of states in states/eV per atom: 0.26

Cell: 4.653 4.653 4.653 Å, 90.00 90.00 90.00°
Sites, in units of the cell vectors:
1 Mg 0.000 0.000 0.500
2 Mg 0.000 0.500 0.000
3 Mg 0.500 0.000 0.000
4 Pb 0.500 0.500 0.500
5 F 0.000 0.000 0.000

***

Model two:
Below is Mg3PbF after structural relaxation, with properties calculated at the GGA-PBE level.

Results
Fermi-level density of states in states/eV per atom: 0.47

Cell: 5.550 5.550 5.550 Å, 90.00 90.00 90.00°
Sites, in units of the cell vectors:
1 Mg 0.000 0.000 0.500
2 Mg 0.000 0.500 0.000
3 Mg 0.500 0.000 0.000
4 Pb 0.000 0.000 0.000
5 F 0.500 0.500 0.500

***

Most stable of them? model one.